# Na2Sr3Ac

A relaxed Na2Sr3Ac crystal (PBE, Alexandria via LeMat-Bulk).

Summary:
Fermi-level density of states = 1.009 states/eV/atom
Magnetic moment = 0.00 μB/cell

Cell: 4.230 4.230 15.596 Å, 90.00 90.00 90.00°
Space group P4/mmm (No. 123)
One atom of each set of equivalent atoms:
Na 0.000 0.000 0.160
Sr 0.500 0.500 0.000
Sr 0.500 0.500 0.320
Ac 0.000 0.000 0.500



# NaSr2Ac

A relaxed NaSr2Ac crystal (PBE, Alexandria via LeMat-Bulk).

Summary:
Fermi-level density of states = 1.062 states/eV/atom
Magnetic moment = 0.00 μB/cell
Energy relative to the lowest polymorph listed for this composition = 66 meV/atom

Cell: 6.679 6.679 4.294 Å, 90.00 90.00 90.00°
Space group P4/mmm (No. 123)
One atom of each set of equivalent atoms:
Na 0.000 0.000 0.000
Sr 0.000 0.500 0.500
Ac 0.500 0.500 0.000



# NaSr2Ac

A relaxed NaSr2Ac crystal (PBE, Alexandria via LeMat-Bulk).

Summary:
Fermi-level density of states = 1.059 states/eV/atom
Magnetic moment = 0.00 μB/cell
Energy relative to the lowest polymorph listed for this composition = 0 meV/atom

Cell: 4.042 4.042 11.597 Å, 90.00 90.00 90.00°
Space group P4/mmm (No. 123)
One atom of each set of equivalent atoms:
Na 0.000 0.000 0.000
Sr 0.500 0.500 0.242
Ac 0.000 0.000 0.500



| no. | energy of formation (meV per atom) | theoretical density (g/cm³) |
| --- | --- | --- |
| 1 | 50 | 3.2 |
| 2 | 117 | 3.7 |
| 3 | 51 | 3.7 |